# PBE CeDy2ErBi4, optimized geometry
data_CeDy2ErBi4
_symmetry_space_group_name_H-M 'P 1 2/m 1'
_symmetry_Int_Tables_number 10
_symmetry_space_group_name_Hall '-P 2y'
_cell_length_a 7.7905
_cell_length_b 4.5059
_cell_length_c 7.7962
_cell_angle_alpha 90.00
_cell_angle_beta 109.46
_cell_angle_gamma 90.00
loop_
_atom_site_label
_atom_site_fract_x
_atom_site_fract_y
_atom_site_fract_z
_atom_site_occupancy
Ce1 0.0000 0.0000 0.0000 1
Dy1 0.0000 0.5000 0.5000 1
Dy2 0.5000 0.0000 0.5000 1
Er1 0.5000 0.5000 0.0000 1
Bi1 0.2534 0.0000 0.7494 1
Bi2 0.2551 0.5000 0.2537 1
# - M_tot: 0.792 μB per formula unit
# - Energy relative to the elements: -828 meV/atom
# - Calculated density: 9.4 g cm⁻³

# PBE La6Se2SBr3, optimized geometry
data_La6Se2SBr3
_symmetry_space_group_name_H-M 'C 1 2/m 1'
_symmetry_Int_Tables_number 12
_symmetry_space_group_name_Hall '-C 2y'
_cell_length_a 7.5046
_cell_length_b 12.7973
_cell_length_c 7.4815
_cell_angle_alpha 90.00
_cell_angle_beta 108.82
_cell_angle_gamma 90.00
loop_
_atom_site_label
_atom_site_fract_x
_atom_site_fract_y
_atom_site_fract_z
_atom_site_occupancy
La1 0.2286 0.1589 0.2186 1
La2 0.2335 0.0000 0.7652 1
Se1 0.0000 0.3379 0.0000 1
S1 0.0000 0.0000 0.0000 1
Br1 0.0000 0.1797 0.5000 1
Br2 0.0000 0.5000 0.5000 1
# - M_tot: 0.000 μB per formula unit
# - Formation energy (no corrections): -1.679 eV per atom
# - Calculated density: 6.2 g cm⁻³

# PBE LaTeMo2, optimized geometry
data_LaTeMo2
_symmetry_space_group_name_H-M 'I m m 2'
_symmetry_Int_Tables_number 44
_symmetry_space_group_name_Hall 'I 2 -2'
_cell_length_a 3.8209
_cell_length_b 4.7734
_cell_length_c 10.1941
_cell_angle_alpha 90.00
_cell_angle_beta 90.00
_cell_angle_gamma 90.00
loop_
_atom_site_label
_atom_site_fract_x
_atom_site_fract_y
_atom_site_fract_z
_atom_site_occupancy
La1 0.0000 0.0000 0.0000 1
Te1 0.0000 0.5000 0.7634 1
Mo1 0.0000 0.0000 0.5724 1
Mo2 0.0000 0.5000 0.2272 1
# - M_tot: 0.000 μB per formula unit
# - Formation energy (no corrections): 0.282 eV per atom
# - Calculated density: 8.2 g cm⁻³

# PBE Sm12DySc6, optimized geometry
data_Sm12DySc6
_symmetry_space_group_name_H-M 'I m -3'
_symmetry_Int_Tables_number 204
_symmetry_space_group_name_Hall '-I 2 2 3'
_cell_length_a 10.5837
_cell_length_b 10.5837
_cell_length_c 10.5837
_cell_angle_alpha 90.00
_cell_angle_beta 90.00
_cell_angle_gamma 90.00
loop_
_atom_site_label
_atom_site_fract_x
_atom_site_fract_y
_atom_site_fract_z
_atom_site_occupancy
Sm1 0.0000 0.2681 0.1986 1
Dy1 0.0000 0.0000 0.0000 1
Sc1 0.0000 0.1378 0.5000 1
# - M_tot: 0.000 μB per formula unit
# - Energy relative to the elements: 236 meV/atom
# - Distance to the lowest polymorph of the same formula: 0 meV/atom
# - Calculated density: 6.3 g cm⁻³

Which value of calculated density does entry 4 give?
6.3 g cm⁻³

The highest calculated density belongs to which entry?
CeDy2ErBi4

calculated density of number 2 (La6Se2SBr3)?
6.2 g cm⁻³